The following is a GGA-PBE calculation of AlOs2 after structural relaxation, from Alexandria via LeMat-Bulk.

a = 5.871 Å, b = 5.871 Å, c = 5.871 Å
α = 90.00°, β = 90.00°, γ = 90.00°
Fractional positions:
Al 0.500 0.500 0.000
Os 0.616 0.616 0.384
Al 0.000 0.000 0.000
Os 0.384 0.116 0.116
Os 0.116 0.884 0.616
Os 0.884 0.384 0.884
Os 0.116 0.616 0.116
Os 0.384 0.384 0.616
Os 0.616 0.884 0.884
Al 0.500 0.000 0.500
Al 0.000 0.500 0.500
Os 0.884 0.116 0.384

Output
M_tot = 0.00 μB per formula unit
calculated volume = 16.9 Å³/atom
DFT total energy = -91.55 eV per cell

The following is a GGA-PBE calculation of AlOs5 after structural relaxation, from Alexandria via LeMat-Bulk.

a = 4.748 Å, b = 4.748 Å, c = 4.390 Å
α = 90.00°, β = 90.00°, γ = 120.00°
Fractional positions:
Os 0.332 0.332 0.000
Os 0.667 0.333 0.500
Os 0.333 0.667 0.500
Os 0.668 0.000 0.000
Al 0.000 0.000 0.500
Os 0.000 0.668 0.000

Output
ΔE to the lowest computed polymorph = 105.3 meV per atom
M_tot = 0.00 μB per formula unit
calculated volume = 14.3 Å³/atom

The following is a GGA-PBE calculation of AlOs5 after structural relaxation, from Alexandria via LeMat-Bulk.

a = 5.100 Å, b = 5.100 Å, c = 5.100 Å
α = 60.00°, β = 60.00°, γ = 60.00°
Fractional positions:
Os 0.625 0.625 0.125
Os 0.250 0.250 0.250
Os 0.625 0.625 0.625
Os 0.125 0.625 0.625
Os 0.625 0.125 0.625
Al 0.000 0.000 0.000

Output
ΔE to the lowest computed polymorph = 814.9 meV per atom
M_tot = 0.00 μB per formula unit
calculated volume = 15.6 Å³/atom

The following is a GGA-PBE calculation of AlOs5 after structural relaxation, from Alexandria via LeMat-Bulk.

a = 5.165 Å, b = 5.165 Å, c = 6.442 Å
α = 76.05°, β = 76.05°, γ = 31.15°
Fractional positions:
Os 0.945 0.945 0.612
Os 0.673 0.673 0.659
Os 0.617 0.617 0.282
Os 0.270 0.270 0.938
Os 0.334 0.334 0.335
Al 0.993 0.993 0.007

Output
ΔE to the lowest computed polymorph = 0.0 meV per atom
M_tot = 0.00 μB per formula unit
calculated volume = 14.3 Å³/atom

The following is a GGA-PBE calculation of AlPOs after structural relaxation, from Alexandria via LeMat-Bulk.

a = 4.489 Å, b = 4.489 Å, c = 4.489 Å
α = 140.93°, β = 132.66°, γ = 62.99°
Fractional positions:
Al 0.997 0.997 0.000
Os 0.333 0.333 0.000
P 0.670 0.670 0.000

Output
ΔE to the lowest computed polymorph = 192.5 meV per atom
M_tot = 0.00 μB per formula unit
calculated volume = 13.8 Å³/atom

The following is a GGA-PBE calculation of AlP2Os after structural relaxation, from Alexandria via LeMat-Bulk.

a = 4.315 Å, b = 4.315 Å, c = 3.058 Å
α = 90.00°, β = 90.00°, γ = 104.90°
Fractional positions:
Os 0.000 0.500 0.500
P 0.000 0.000 0.000
P 0.500 0.500 0.000
Al 0.500 0.000 0.500

Output
M_tot = 0.00 μB per formula unit
calculated volume = 13.8 Å³/atom
DFT total energy = -25.00 eV per cell

The following is a GGA-PBE calculation of Al2POs after structural relaxation, from Alexandria via LeMat-Bulk.

a = 2.906 Å, b = 2.906 Å, c = 7.115 Å
α = 90.00°, β = 90.00°, γ = 90.00°
Fractional positions:
P 0.500 0.500 0.710
Al 0.500 0.500 0.276
Os 0.000 0.000 0.528
Al 0.000 0.000 0.986

Output
M_tot = 0.00 μB per formula unit
calculated volume = 15.0 Å³/atom
DFT total energy = -24.72 eV per cell

The following is a GGA-PBE calculation of AlPOs3 after structural relaxation, from Alexandria via LeMat-Bulk.

a = 4.438 Å, b = 4.438 Å, c = 4.438 Å
α = 90.00°, β = 90.00°, γ = 90.00°
Each line ends with the local moment (μB).
Fractional positions:
Os 0.000 0.500 0.000  0.25
Al 0.000 0.000 0.000  0.00
Os 0.500 0.000 0.000  0.26
P 0.500 0.500 0.500  -0.03
Os 0.000 0.000 0.500  0.15

Output
ΔE to the lowest computed polymorph = 1239.6 meV per atom
M_tot = 0.66 μB per formula unit
calculated volume = 17.5 Å³/atom

The following is a GGA-PBE calculation of AlP2Os after structural relaxation, from Alexandria via LeMat-Bulk.

a = 4.332 Å, b = 4.332 Å, c = 5.780 Å
α = 68.18°, β = 68.18°, γ = 39.56°
Fractional positions:
Os 0.228 0.228 0.091
Al 0.568 0.568 0.520
P 0.923 0.923 0.162
P 0.782 0.782 0.727

Output
M_tot = 0.00 μB per formula unit
calculated volume = 15.9 Å³/atom
DFT total energy = -26.28 eV per cell

The following is a GGA-PBE calculation of AlPOs2 after structural relaxation, from Alexandria via LeMat-Bulk.

a = 3.118 Å, b = 3.118 Å, c = 5.648 Å
α = 90.00°, β = 90.00°, γ = 90.00°
Fractional positions:
P 0.000 0.000 0.496
Os 0.500 0.500 0.304
Os 0.000 0.000 0.945
Al 0.500 0.500 0.755

Output
ΔE to the lowest computed polymorph = 180.6 meV per atom
M_tot = 0.00 μB per formula unit
calculated volume = 13.7 Å³/atom

The following is a GGA-PBE calculation of AlP2Os after structural relaxation, from Alexandria via LeMat-Bulk.

a = 3.855 Å, b = 3.855 Å, c = 5.928 Å
α = 74.05°, β = 74.05°, γ = 46.38°
Fractional positions:
P 0.009 0.009 0.032
Os 0.250 0.250 0.250
Al 0.750 0.750 0.750
P 0.491 0.491 0.468

Output
M_tot = 0.00 μB per formula unit
calculated volume = 15.2 Å³/atom
DFT total energy = -25.81 eV per cell

The following is a GGA-PBE calculation of AlPOs2 after structural relaxation, from Alexandria via LeMat-Bulk.

a = 5.649 Å, b = 5.649 Å, c = 5.649 Å
α = 149.96°, β = 140.66°, γ = 50.27°
Fractional positions:
P 0.532 0.532 0.000
Os 0.711 0.211 0.500
Al 0.290 0.790 0.500
Os 0.968 0.968 0.000

Output
ΔE to the lowest computed polymorph = 128.8 meV per atom
M_tot = 0.00 μB per formula unit
calculated volume = 14.2 Å³/atom